Below is a relaxed HfTc2RuS crystal, with properties calculated at the PBE level.

Calculated values
* SG: No. 123
* total magnetization: 6.27 Bohr magnetons per cell
* formation energy (no corrections): 2042 meV per atom

abc: 4.9395 4.9395 4.7407
angles: 90.00 90.00 90.00
Sites, in units of the cell vectors:
Hf: 0.0000 0.0000 0.0000
Tc: 0.0000 0.5000 0.0000
Tc: 0.5000 0.0000 0.0000
Ru: 0.0000 0.0000 0.5000
S: 0.5000 0.5000 0.5000